This record from the Alexandria database describes a relaxed structure of Tb5Sm2Sc12. The functional is PBE-GGA.

energy relative to the elements	0.138	eV per atom
SG	C2/m
N(E_F)	28.26	states/eV per cell

Geometry as CIF:
```
data_Tb5Sm2Sc12
_chemical_formula_sum 'Tb5 Sm2 Sc12'
_symmetry_space_group_name_H-M 'P 1'
_symmetry_Int_Tables_number 1
_symmetry_space_group_name_Hall 'P 1'
_cell_length_a 8.6653
_cell_length_b 8.6053
_cell_length_c 8.2041
_cell_angle_alpha 92.52
_cell_angle_beta 90.00
_cell_angle_gamma 120.23
loop_
_atom_site_label
_atom_site_type_symbol
_atom_site_fract_x
_atom_site_fract_y
_atom_site_fract_z
_atom_site_occupancy
Sc1 Sc 0.5600 0.7437 0.3424 1
Sc2 Sc 0.3274 0.3006 0.2495 1
Sc3 Sc 0.0268 0.6994 0.7505 1
Sc4 Sc 0.4400 0.2563 0.6576 1
Sc5 Sc 0.0817 0.1634 0.8772 1
Sc6 Sc 0.9183 0.8366 0.1228 1
Sc7 Sc 0.1837 0.7437 0.3424 1
Sc8 Sc 0.5527 0.1054 0.3360 1
Sc9 Sc 0.8163 0.2563 0.6576 1
Sc10 Sc 0.4473 0.8946 0.6640 1
Sc11 Sc 0.6726 0.6994 0.7505 1
Sc12 Sc 0.9732 0.3006 0.2495 1
Sm1 Sm 0.3146 0.0000 0.0000 1
Sm2 Sm 0.6854 0.0000 0.0000 1
Tb1 Tb 0.7073 0.4147 0.0089 1
Tb2 Tb 0.0000 0.0000 0.5000 1
Tb3 Tb 0.2927 0.5853 0.9911 1
Tb4 Tb 0.7650 0.5300 0.4231 1
Tb5 Tb 0.2350 0.4700 0.5769 1
```